First-principles (GGA-PBE) data for a geometry-optimized Dy4Tm4Th3 structure, as listed in Alexandria.

Structure (POSCAR):
```
Dy4Tm4Th3
1.0
3.549 0.000 0.000
-0.001 5.653 0.000
-0.006 -2.826 17.332
Dy Tm Th
4 4 3
direct
0.000 0.220 0.440
0.000 0.780 0.560
0.001 0.401 0.803
0.999 0.599 0.197
0.001 0.954 0.909
0.499 0.690 0.380
0.501 0.310 0.620
0.999 0.046 0.091
0.499 0.131 0.261
0.500 0.500 0.000
0.501 0.869 0.739
```

Values from the calculation:
SG: P-1, No. 2
size of the total moment: 0.00 μB/cell
formation energy: 53 meV/atom
theoretical density: 9.656 g/cm3

***

First-principles (GGA-PBE) data for a geometry-optimized DyTm8Th4 structure, as listed in Alexandria.

Structure (POSCAR):
```
DyTm8Th4
1.0
3.665 2.116 8.764
-3.665 2.116 8.764
0.000 -4.232 8.764
Dy Tm Th
1 8 4
direct
0.000 0.000 0.000
0.251 0.251 0.689
0.251 0.689 0.251
0.280 0.280 0.280
0.311 0.749 0.749
0.689 0.251 0.251
0.720 0.720 0.720
0.749 0.311 0.749
0.749 0.749 0.311
0.000 0.000 0.500
0.000 0.500 0.000
0.500 0.000 0.000
0.500 0.500 0.500
```

Values from the calculation:
SG: R-3m, No. 166
size of the total moment: 0.00 μB/cell
formation energy: 228 meV/atom
theoretical density: 9.944 g/cm3

***

First-principles (GGA-PBE) data for a geometry-optimized DyTm2Th2 structure, as listed in Alexandria.

Structure (POSCAR):
```
DyTm2Th2
1.0
4.334 -5.078 0.000
4.334 5.078 0.000
-2.954 0.000 7.650
Dy Tm Th
2 4 4
direct
0.226 0.774 0.750
0.774 0.226 0.250
0.000 0.500 0.000
0.500 0.000 0.500
0.500 0.500 0.000
0.500 0.500 0.500
0.087 0.219 0.646
0.219 0.087 0.146
0.781 0.913 0.854
0.913 0.781 0.354
```

Values from the calculation:
SG: C2/c, No. 15
size of the total moment: 0.00 μB/cell
energy above the most stable polymorph in this dataset: 0.2833 eV/atom
formation energy: 311 meV/atom
theoretical density: 9.512 g/cm3

***

First-principles (GGA-PBE) data for a geometry-optimized Dy8Tm6Th structure, as listed in Alexandria.

Structure (POSCAR):
```
Dy8Tm6Th
1.0
4.465 2.578 6.841
-4.465 2.578 6.841
0.000 -5.156 6.841
Dy Tm Th
8 6 1
direct
0.077 0.077 0.077
0.218 0.612 0.252
0.252 0.218 0.612
0.388 0.748 0.782
0.612 0.252 0.218
0.748 0.782 0.388
0.782 0.388 0.748
0.923 0.923 0.923
0.037 0.601 0.739
0.261 0.963 0.399
0.399 0.261 0.963
0.601 0.739 0.037
0.739 0.037 0.601
0.963 0.399 0.261
0.500 0.500 0.500
```

Values from the calculation:
SG: R-3, No. 148
size of the total moment: 0.00 μB/cell
formation energy: 130 meV/atom
theoretical density: 8.946 g/cm3

***

First-principles (GGA-PBE) data for a geometry-optimized DyTm4Th5 structure, as listed in Alexandria.

Structure (POSCAR):
```
DyTm4Th5
1.0
8.765 -1.717 0.000
8.765 1.717 0.000
-3.262 0.000 10.569
Dy Tm Th
1 4 5
direct
0.000 0.000 0.000
0.197 0.197 0.087
0.406 0.406 0.190
0.594 0.594 0.810
0.803 0.803 0.913
0.000 0.000 0.500
0.303 0.303 0.404
0.390 0.390 0.705
0.610 0.610 0.295
0.697 0.697 0.596
```

Values from the calculation:
SG: C2/m, No. 12
size of the total moment: 0.00 μB/cell
formation energy: 131 meV/atom
theoretical density: 10.432 g/cm3

***

First-principles (GGA-PBE) data for a geometry-optimized Dy2Tm8Th3 structure, as listed in Alexandria.

Structure (POSCAR):
```
Dy2Tm8Th3
1.0
7.319 -4.596 0.000
7.319 4.596 0.000
-1.109 0.000 6.462
Dy Tm Th
2 8 3
direct
0.216 0.216 0.292
0.784 0.784 0.708
0.197 0.197 0.786
0.209 0.566 0.063
0.419 0.419 0.632
0.434 0.791 0.937
0.566 0.209 0.063
0.581 0.581 0.368
0.791 0.434 0.937
0.803 0.803 0.214
0.000 0.000 0.000
0.170 0.830 0.500
0.830 0.170 0.500
```

Values from the calculation:
SG: C2/m, No. 12
size of the total moment: 0.00 μB/cell
energy above the most stable polymorph in this dataset: 0.0024 eV/atom
formation energy: 280 meV/atom
theoretical density: 9.061 g/cm3